Entry from Alexandria via LeMat-Bulk: a geometry-optimized GaSi2Ni8 structure (PBE-GGA).

Summary:
- density (Mg/m³) = 8.0
- volume (Å³/atom) = 11.3
- E_form (uncorrected) (eV/atom) = -0.383

abc: 12.621 3.651 5.716
angles: 90.00 109.96 90.00
Space group C2/m (No. 12)
Symmetry-distinct sites (fractional):
Ga  0.000  0.000  0.000 x2
Si  0.208  0.500  0.670 x4
Ni  0.036  0.500  0.732 x4
Ni  0.100  0.000  0.469 x4
Ni  0.162  0.500  0.234 x4
Ni  0.177  0.000  0.927 x4